DFT (PBE+U) results for an optimized crystal structure of YErWO6.

Cell lengths 5.507, 5.507, 9.512 Å; angles 90.00, 90.00, 120.00 degrees
Element x y z (fractional)
Y  0.000  0.000  0.000
Y  0.000  0.000  0.500
Er  0.333  0.667  0.250
Er  0.667  0.333  0.750
W  0.333  0.667  0.750
W  0.667  0.333  0.250
O  0.039  0.369  0.636
O  0.039  0.670  0.864
O  0.330  0.369  0.864
O  0.330  0.961  0.636
O  0.369  0.039  0.136
O  0.369  0.330  0.364
O  0.631  0.670  0.636
O  0.631  0.961  0.864
O  0.670  0.039  0.364
O  0.670  0.631  0.136
O  0.961  0.330  0.136
O  0.961  0.631  0.364

## Properties
Calculated total energy = -74.3 eV/f.u.
N(E_F) = 0.0 states/eV/cell
Space group = No. 163